Entry from the Alexandria database: an optimized crystal structure of Ca2AgAu (PBE-GGA).

Structure (POSCAR):
```
Ca2AgAu
1.0
2.132 1.231 7.358
-2.132 1.231 7.358
0.000 -2.462 7.358
Ca Ag Au
2 1 1
Cartesian
0.000 0.000 0.000 Ca
0.000 0.000 3.981 Ca
0.000 0.000 16.644 Ag
0.000 0.000 13.077 Au
```

Summary:
Energy above the lowest structure with this stoichiometry   149 meV per atom
Formation enthalpy at 0 K   -40.9 kJ/mol of atoms
V   115.9 Å³ per cell
SG   No. 160
Density of states at the Fermi level   0.58 states/eV per atom